Tc2AgP after structural relaxation. Source: the Alexandria database, functional GGA-PBEsol.

Structure (CIF):
```
data_Tc2AgP
_chemical_formula_sum 'Tc2 Ag1 P1'
_symmetry_space_group_name_H-M 'P 4 m m'
_symmetry_Int_Tables_number 99
_cell_length_a 2.8877
_cell_length_b 2.8877
_cell_length_c 6.8911
_cell_angle_alpha 90.00
_cell_angle_beta 90.00
_cell_angle_gamma 90.00
loop_
_symmetry_equiv_pos_as_xyz
'x,y,z'
'-y,x,z'
'-x,-y,z'
'y,-x,z'
'-x,y,z'
'y,x,z'
'x,-y,z'
'-y,-x,z'
loop_
_atom_site_label
_atom_site_fract_x
_atom_site_fract_y
_atom_site_fract_z
Tc1 0.0000 0.0000 0.0000
Tc2 0.5000 0.5000 0.2484
Ag1 0.0000 0.0000 0.5415
P1 0.5000 0.5000 0.8120
```

## Properties
DFT formation energy: 79 meV per atom


TcAgP2 after structural relaxation. Source: the Alexandria database, functional GGA-PBEsol.

Structure (CIF):
```
data_TcAgP2
_chemical_formula_sum 'Tc2 Ag2 P4'
_symmetry_space_group_name_H-M 'I 4/m m m'
_symmetry_Int_Tables_number 139
_symmetry_space_group_name_Hall '-I 4 2'
_cell_length_a 4.0749
_cell_length_b 4.0749
_cell_length_c 6.7429
_cell_angle_alpha 90.00
_cell_angle_beta 90.00
_cell_angle_gamma 90.00
loop_
_atom_site_label
_atom_site_fract_x
_atom_site_fract_y
_atom_site_fract_z
Tc1 0.0000 0.0000 0.0000
Ag1 0.0000 0.0000 0.5000
P1 0.0000 0.5000 0.2500
```

## Properties
offset from the most stable computed form: 0.90 eV per formula unit
DFT formation energy: 274 meV per atom


Tc2AgP after structural relaxation. Source: the Alexandria database, functional GGA-PBEsol.

Structure (CIF):
```
data_Tc2AgP
_chemical_formula_sum 'Tc4 Ag2 P2'
_symmetry_space_group_name_H-M 'I m m 2'
_symmetry_Int_Tables_number 44
_cell_length_a 2.9690
_cell_length_b 4.2462
_cell_length_c 8.8381
_cell_angle_alpha 90.00
_cell_angle_beta 90.00
_cell_angle_gamma 90.00
loop_
_symmetry_equiv_pos_as_xyz
'x,y,z'
'-x,-y,z'
'-x,y,z'
'x,-y,z'
'x+1/2,y+1/2,z+1/2'
'-x+1/2,-y+1/2,z+1/2'
'-x+1/2,y+1/2,z+1/2'
'x+1/2,-y+1/2,z+1/2'
loop_
_atom_site_label
_atom_site_fract_x
_atom_site_fract_y
_atom_site_fract_z
Tc1 0.0000 0.0000 0.0000
Tc2 0.0000 0.5000 0.2310
Ag1 0.0000 0.5000 0.7847
P1 0.0000 0.0000 0.5269
```

## Properties
DFT formation energy: 217 meV per atom


TcAgP2 after structural relaxation. Source: the Alexandria database, functional GGA-PBEsol.

Structure (CIF):
```
data_TcAgP2
_chemical_formula_sum 'Tc2 Ag2 P4'
_symmetry_space_group_name_H-M 'C m m m'
_symmetry_Int_Tables_number 65
_symmetry_space_group_name_Hall '-C 2 2'
_cell_length_a 2.9544
_cell_length_b 4.8590
_cell_length_c 8.4164
_cell_angle_alpha 90.00
_cell_angle_beta 90.00
_cell_angle_gamma 90.00
loop_
_atom_site_label
_atom_site_fract_x
_atom_site_fract_y
_atom_site_fract_z
Tc1 0.0000 0.0000 0.0000
Ag1 0.0000 0.0000 0.5000
P1 0.0000 0.5000 0.2207
```

## Properties
offset from the most stable computed form: 0.77 eV per formula unit
DFT formation energy: 243 meV per atom


Tc2AgP after structural relaxation. Source: the Alexandria database, functional GGA-PBEsol.

Structure (CIF):
```
data_Tc2AgP
_chemical_formula_sum 'Tc4 Ag2 P2'
_symmetry_space_group_name_H-M 'I -4 m 2'
_symmetry_Int_Tables_number 119
_symmetry_space_group_name_Hall 'I -4 -2'
_cell_length_a 3.8199
_cell_length_b 3.8199
_cell_length_c 7.6077
_cell_angle_alpha 90.00
_cell_angle_beta 90.00
_cell_angle_gamma 90.00
loop_
_atom_site_label
_atom_site_fract_x
_atom_site_fract_y
_atom_site_fract_z
Tc1 0.0000 0.0000 0.0000
Tc2 0.0000 0.5000 0.2500
Ag1 0.0000 0.0000 0.5000
P1 0.0000 0.5000 0.7500
```

## Properties
DFT formation energy: 377 meV per atom


Tc2AgP after structural relaxation. Source: the Alexandria database, functional GGA-PBEsol.

Structure (CIF):
```
data_Tc2AgP
_chemical_formula_sum 'Tc4 Ag2 P2'
_symmetry_space_group_name_H-M 'C 1 m 1'
_symmetry_Int_Tables_number 8
_cell_length_a 8.7799
_cell_length_b 2.8719
_cell_length_c 4.7542
_cell_angle_alpha 90.00
_cell_angle_beta 92.84
_cell_angle_gamma 90.00
loop_
_symmetry_equiv_pos_as_xyz
'x,y,z'
'x,-y,z'
'x+1/2,y+1/2,z'
'x+1/2,-y+1/2,z'
loop_
_atom_site_label
_atom_site_fract_x
_atom_site_fract_y
_atom_site_fract_z
Tc1 0.0000 0.0000 0.0000
Tc2 0.2309 0.5000 0.2031
Ag1 0.2623 0.0000 0.7081
P1 0.4678 0.0000 0.3725
```

## Properties
DFT formation energy: 227 meV per atom


Tc2AgP after structural relaxation. Source: the Alexandria database, functional GGA-PBEsol.

Structure (CIF):
```
data_Tc2AgP
_chemical_formula_sum 'Tc4 Ag2 P2'
_symmetry_space_group_name_H-M 'C 1 2/m 1'
_symmetry_Int_Tables_number 12
_cell_length_a 5.3133
_cell_length_b 8.5003
_cell_length_c 2.7672
_cell_angle_alpha 90.00
_cell_angle_beta 113.80
_cell_angle_gamma 90.00
loop_
_symmetry_equiv_pos_as_xyz
'x,y,z'
'-x,-y,-z'
'-x,y,-z'
'x,-y,z'
'x+1/2,y+1/2,z'
'-x+1/2,-y+1/2,-z'
'-x+1/2,y+1/2,-z'
'x+1/2,-y+1/2,z'
loop_
_atom_site_label
_atom_site_fract_x
_atom_site_fract_y
_atom_site_fract_z
Tc1 0.2500 0.2500 0.0000
Ag1 0.0000 0.0000 0.5000
P1 0.0000 0.5000 0.5000
```

## Properties
DFT formation energy: 517 meV per atom


TcAg3P after structural relaxation. Source: the Alexandria database, functional GGA-PBEsol.

Structure (CIF):
```
data_TcAg3P
_chemical_formula_sum 'Tc1 Ag3 P1'
_symmetry_space_group_name_H-M 'P m -3 m'
_symmetry_Int_Tables_number 221
_symmetry_space_group_name_Hall '-P 4 2 3'
_cell_length_a 4.9042
_cell_length_b 4.9042
_cell_length_c 4.9042
_cell_angle_alpha 90.00
_cell_angle_beta 90.00
_cell_angle_gamma 90.00
loop_
_atom_site_label
_atom_site_fract_x
_atom_site_fract_y
_atom_site_fract_z
Tc1 0.0000 0.0000 0.0000
Ag1 0.0000 0.0000 0.5000
P1 0.5000 0.5000 0.5000
```

## Properties
DFT formation energy: 1966 meV per atom


Tc2AgP after structural relaxation. Source: the Alexandria database, functional GGA-PBEsol.

Structure (CIF):
```
data_Tc2AgP
_chemical_formula_sum 'Tc2 Ag1 P1'
_symmetry_space_group_name_H-M 'P 4/m m m'
_symmetry_Int_Tables_number 123
_symmetry_space_group_name_Hall '-P 4 2'
_cell_length_a 4.2799
_cell_length_b 4.2799
_cell_length_c 2.9776
_cell_angle_alpha 90.00
_cell_angle_beta 90.00
_cell_angle_gamma 90.00
loop_
_atom_site_label
_atom_site_fract_x
_atom_site_fract_y
_atom_site_fract_z
Tc1 0.0000 0.5000 0.0000
Ag1 0.0000 0.0000 0.5000
P1 0.5000 0.5000 0.5000
```

## Properties
DFT formation energy: 258 meV per atom


AgTe2P after structural relaxation. Source: the Alexandria database, functional GGA-PBEsol.

Structure (CIF):
```
data_AgTe2P
_chemical_formula_sum 'Ag1 Te2 P1'
_symmetry_space_group_name_H-M 'P m m m'
_symmetry_Int_Tables_number 47
_cell_length_a 3.8075
_cell_length_b 3.9259
_cell_length_c 6.5522
_cell_angle_alpha 90.00
_cell_angle_beta 90.00
_cell_angle_gamma 90.00
loop_
_symmetry_equiv_pos_as_xyz
'x,y,z'
'-x,-y,-z'
'-x,-y,z'
'x,y,-z'
'x,-y,-z'
'-x,y,z'
'-x,y,-z'
'x,-y,z'
loop_
_atom_site_label
_atom_site_fract_x
_atom_site_fract_y
_atom_site_fract_z
Ag1 0.0000 0.0000 0.0000
Te1 0.5000 0.0000 0.5000
Te2 0.5000 0.5000 0.0000
P1 0.0000 0.5000 0.5000
```

## Properties
energy relative to the elements, uncorrected: 0.44 eV per atom


AgTeP after structural relaxation. Source: the Alexandria database, functional GGA-PBEsol.

Structure (CIF):
```
data_AgTeP
_chemical_formula_sum 'Ag2 Te2 P2'
_symmetry_space_group_name_H-M 'I m m 2'
_symmetry_Int_Tables_number 44
_cell_length_a 3.0407
_cell_length_b 4.0738
_cell_length_c 11.5940
_cell_angle_alpha 90.00
_cell_angle_beta 90.00
_cell_angle_gamma 90.00
loop_
_symmetry_equiv_pos_as_xyz
'x,y,z'
'-x,-y,z'
'-x,y,z'
'x,-y,z'
'x+1/2,y+1/2,z+1/2'
'-x+1/2,-y+1/2,z+1/2'
'-x+1/2,y+1/2,z+1/2'
'x+1/2,-y+1/2,z+1/2'
loop_
_atom_site_label
_atom_site_fract_x
_atom_site_fract_y
_atom_site_fract_z
Ag1 0.0000 0.0000 0.0000
Te1 0.0000 0.0000 0.2591
P1 0.0000 0.0000 0.4753
```

## Properties
energy relative to the elements, uncorrected: 0.24 eV per atom
offset from the most stable computed form: 0.00 eV per formula unit


Ag3TeP after structural relaxation. Source: the Alexandria database, functional GGA-PBEsol.

Structure (CIF):
```
data_Ag3TeP
_chemical_formula_sum 'Ag3 Te1 P1'
_symmetry_space_group_name_H-M 'P m -3 m'
_symmetry_Int_Tables_number 221
_symmetry_space_group_name_Hall '-P 4 2 3'
_cell_length_a 4.7535
_cell_length_b 4.7535
_cell_length_c 4.7535
_cell_angle_alpha 90.00
_cell_angle_beta 90.00
_cell_angle_gamma 90.00
loop_
_atom_site_label
_atom_site_fract_x
_atom_site_fract_y
_atom_site_fract_z
Ag1 0.0000 0.0000 0.5000
Te1 0.5000 0.5000 0.5000
P1 0.0000 0.0000 0.0000
```

## Properties
energy relative to the elements, uncorrected: 0.32 eV per atom


Calculated E (eV per atom), listed in the same order as above: -7.83 -6.27 -7.69 -6.30 -7.53 -7.68 -7.39 -3.43 -7.65 -3.60 -3.97 -3.53
Calculated Fermi-level density of states (states/eV/atom), listed in the same order as above: 0.65 1.03 0.81 0.73 0.75 0.68 1.04 1.41 0.65 0.77 0.41 0.57
Calculated size of the total moment (μB/cell), listed in the same order as above: 0.0 0.8 0.0 0.0 0.0 0.0 0.0 2.8 0.0 0.0 0.0 0.0